Crystalline FeSbCl2 at its relaxed geometry. Source: Alexandria, functional PBE-GGA.

As for the electronic total energy: -3.661 eV/atom. The density of states at the Fermi level is 3.37 states/eV/f.u. As for the energy above the most stable polymorph in this dataset: 693 meV per atom. Its total magnetization is 3.62 μB/f.u. The calculation puts the uncorrected formation energy at 0.41 eV per atom. The value obtained for the theoretical density is 4.824 Mg/m³.

It has space group P4/mmm (No. 123), with a = 4.428 Å, b = 4.428 Å, c = 4.362 Å, α = 90.00°, β = 90.00° and γ = 90.00°. Symmetry generates all atoms from Fe at (0.000, 0.000, 0.000), Sb at (0.500, 0.500, 0.000) and Cl at (0.000, 0.500, 0.500).



Crystalline Fe2SbCl at its relaxed geometry. Source: Alexandria, functional PBE-GGA.

As for the electronic total energy: -5.412 eV/atom. The density of states at the Fermi level is 4.26 states/eV/f.u. Its total magnetization is 5.18 μB/f.u. The calculation puts the uncorrected formation energy at 0.31 eV per atom. The value obtained for the theoretical density is 6.581 Mg/m³.

It has space group R-3m (No. 166, hexagonal axes), with a = 3.2226 Å, b = 3.2226 Å, c = 22.6320 Å, α = 90.00°, β = 90.00° and γ = 120.00°. Symmetry generates all atoms from Fe at (0.0000, 0.0000, 0.2471), Sb at (0.0000, 0.0000, 0.0000) and Cl at (0.0000, 0.0000, 0.5000).



Crystalline FeSbCl2 at its relaxed geometry. Source: Alexandria, functional PBE-GGA.

As for the electronic total energy: -3.989 eV/atom. The density of states at the Fermi level is 3.85 states/eV/f.u. As for the energy above the most stable polymorph in this dataset: 366 meV per atom. Its total magnetization is 3.20 μB/f.u. The calculation puts the uncorrected formation energy at 0.08 eV per atom. The value obtained for the theoretical density is 4.833 Mg/m³.

It has space group Cmmm (No. 65), with a = 6.014 Å, b = 6.657 Å, c = 4.266 Å, α = 90.00°, β = 90.00° and γ = 90.00°. Symmetry generates all atoms from Fe at (0.000, 0.000, 0.000), Sb at (0.000, 0.500, 0.000) and Cl at (0.000, 0.222, 0.500).



Crystalline FeSbCl2 at its relaxed geometry. Source: Alexandria, functional PBE-GGA.

As for the electronic total energy: -3.897 eV/atom. The density of states at the Fermi level is 4.24 states/eV/f.u. As for the energy above the most stable polymorph in this dataset: 458 meV per atom. Its total magnetization is 3.47 μB/f.u. The calculation puts the uncorrected formation energy at 0.17 eV per atom. The value obtained for the theoretical density is 4.931 Mg/m³.

It has space group Pmmm (No. 47), with a = 3.167 Å, b = 4.599 Å, c = 5.746 Å, α = 90.00°, β = 90.00° and γ = 90.00°. Symmetry generates all atoms from Fe at (0.000, 0.000, 0.000), Sb at (0.500, 0.000, 0.500), Cl at (0.000, 0.500, 0.500) and Cl at (0.500, 0.500, 0.000).



Crystalline FeSbCl2 at its relaxed geometry. Source: Alexandria, functional PBE-GGA.

As for the electronic total energy: -4.138 eV/atom. The density of states at the Fermi level is 2.57 states/eV/f.u. As for the energy above the most stable polymorph in this dataset: 217 meV per atom. Its total magnetization is 3.30 μB/f.u. The calculation puts the uncorrected formation energy at -0.07 eV per atom. The value obtained for the theoretical density is 4.671 Mg/m³.

It has space group P4mm (No. 99), with a = 3.227 Å, b = 3.227 Å, c = 8.481 Å, α = 90.00°, β = 90.00° and γ = 90.00°. Symmetry generates all atoms from Fe at (0.000, 0.000, 0.000), Sb at (0.500, 0.500, 0.238), Cl at (0.000, 0.000, 0.467) and Cl at (0.500, 0.500, 0.856).



Crystalline FeSbCl at its relaxed geometry. Source: Alexandria, functional PBE-GGA.

As for the electronic total energy: -4.427 eV/atom. The density of states at the Fermi level is 7.18 states/eV/f.u. As for the energy above the most stable polymorph in this dataset: 572 meV per atom. Its total magnetization is 1.45 μB/f.u. The calculation puts the uncorrected formation energy at 0.38 eV per atom. The value obtained for the theoretical density is 5.585 Mg/m³.

It has space group F-43m (No. 216), with a = 6.328 Å, b = 6.328 Å, c = 6.328 Å, α = 90.00°, β = 90.00° and γ = 90.00°. Symmetry generates all atoms from Fe at (0.000, 0.000, 0.000), Sb at (0.250, 0.250, 0.250) and Cl at (0.250, 0.250, 0.750).



Crystalline FeSbCl2 at its relaxed geometry. Source: Alexandria, functional PBE-GGA.

As for the electronic total energy: -4.160 eV/atom. The density of states at the Fermi level is 2.91 states/eV/f.u. As for the energy above the most stable polymorph in this dataset: 195 meV per atom. Its total magnetization is 3.25 μB/f.u. The calculation puts the uncorrected formation energy at -0.09 eV per atom. The value obtained for the theoretical density is 4.256 Mg/m³.

It has space group Cmm2 (No. 35), with a = 3.554 Å, b = 5.990 Å, c = 9.110 Å, α = 90.00°, β = 90.00° and γ = 90.00°. Symmetry generates all atoms from Fe at (0.000, 0.000, 0.000), Sb at (0.000, 0.500, 0.223), Cl at (0.000, 0.000, 0.456) and Cl at (0.000, 0.500, 0.839).



Crystalline FeSbCl2 at its relaxed geometry. Source: Alexandria, functional PBE-GGA.

As for the electronic total energy: -4.233 eV/atom. The density of states at the Fermi level is 3.37 states/eV/f.u. As for the energy above the most stable polymorph in this dataset: 122 meV per atom. Its total magnetization is 3.35 μB/f.u. The calculation puts the uncorrected formation energy at -0.16 eV per atom. The value obtained for the theoretical density is 3.899 Mg/m³.

It has space group C2/m (No. 12), with a = 12.771 Å, b = 3.281 Å, c = 5.198 Å, α = 90.00°, β = 103.64° and γ = 90.00°. Symmetry generates all atoms from Fe at (0.000, 0.000, 0.000), Sb at (0.000, 0.500, 0.500) and Cl at (0.141, 0.500, 0.186).



Crystalline FeSbCl at its relaxed geometry. Source: Alexandria, functional PBE-GGA.

As for the electronic total energy: -4.804 eV/atom. The density of states at the Fermi level is 1.87 states/eV/f.u. As for the energy above the most stable polymorph in this dataset: 195 meV per atom. Its total magnetization is 3.12 μB/f.u. The calculation puts the uncorrected formation energy at 0.01 eV per atom. The value obtained for the theoretical density is 5.168 Mg/m³.

It has space group I4mm (No. 107), with a = 3.077 Å, b = 3.077 Å, c = 14.464 Å, α = 90.00°, β = 90.00° and γ = 90.00°. Symmetry generates all atoms from Fe at (0.000, 0.000, 0.000), Sb at (0.000, 0.000, 0.637) and Cl at (0.000, 0.000, 0.402).



Crystalline Fe2SbCl at its relaxed geometry. Source: Alexandria, functional PBE-GGA.

As for the electronic total energy: -5.609 eV/atom. The density of states at the Fermi level is 3.66 states/eV/f.u. Its total magnetization is 5.23 μB/f.u. The calculation puts the uncorrected formation energy at 0.11 eV per atom. The value obtained for the theoretical density is 5.241 Mg/m³.

It has space group Cm (No. 8), with a = 7.684 Å, b = 3.142 Å, c = 7.104 Å, α = 90.00°, β = 96.59° and γ = 90.00°. Symmetry generates all atoms from Fe at (0.000, 0.000, 0.000), Fe at (0.221, 0.500, 0.138), Sb at (0.458, 0.000, 0.331) and Cl at (0.273, 0.000, 0.824).



Crystalline FeSbCl2 at its relaxed geometry. Source: Alexandria, functional PBE-GGA.

As for the electronic total energy: -4.211 eV/atom. The density of states at the Fermi level is 2.36 states/eV/f.u. As for the energy above the most stable polymorph in this dataset: 144 meV per atom. Its total magnetization is 3.93 μB/f.u. The calculation puts the uncorrected formation energy at -0.14 eV per atom. The value obtained for the theoretical density is 3.972 Mg/m³.

It has space group P4/mmm (No. 123), with a = 3.051 Å, b = 3.051 Å, c = 11.161 Å, α = 90.00°, β = 90.00° and γ = 90.00°. Symmetry generates all atoms from Fe at (0.000, 0.000, 0.000), Sb at (0.000, 0.000, 0.500) and Cl at (0.500, 0.500, 0.135).



Crystalline Fe2SbCl at its relaxed geometry. Source: Alexandria, functional PBE-GGA.

As for the electronic total energy: -4.999 eV/atom. The density of states at the Fermi level is 3.16 states/eV/f.u. Its total magnetization is 5.61 μB/f.u. The calculation puts the uncorrected formation energy at 0.72 eV per atom. The value obtained for the theoretical density is 6.249 Mg/m³.

It has space group F-43m (No. 216), with a = 6.587 Å, b = 6.587 Å, c = 6.587 Å, α = 90.00°, β = 90.00° and γ = 90.00°. Symmetry generates all atoms from Fe at (0.000, 0.000, 0.000), Fe at (0.250, 0.250, 0.250), Sb at (0.000, 0.000, 0.500) and Cl at (0.250, 0.250, 0.750).



Crystalline Fe2SbCl at its relaxed geometry. Source: Alexandria, functional PBE-GGA.

As for the electronic total energy: -5.299 eV/atom. The density of states at the Fermi level is 4.65 states/eV/f.u. Its total magnetization is 5.70 μB/f.u. The calculation puts the uncorrected formation energy at 0.42 eV per atom. The value obtained for the theoretical density is 6.187 Mg/m³.

It has space group Cmmm (No. 65), with a = 3.187 Å, b = 5.627 Å, c = 8.050 Å, α = 90.00°, β = 90.00° and γ = 90.00°. Symmetry generates all atoms from Fe at (0.000, 0.000, 0.237), Sb at (0.000, 0.500, 0.500) and Cl at (0.000, 0.500, 0.000).



Crystalline FeSbCl4 at its relaxed geometry. Source: Alexandria, functional PBE-GGA.

As for the electronic total energy: -2.497 eV/atom. The density of states at the Fermi level is 5.71 states/eV/f.u. Its total magnetization is 4.47 μB/f.u. The calculation puts the uncorrected formation energy at 0.83 eV per atom. The value obtained for the theoretical density is 3.843 Mg/m³.

It has space group F-43m (No. 216), with a = 8.204 Å, b = 8.204 Å, c = 8.204 Å, α = 90.00°, β = 90.00° and γ = 90.00°. Symmetry generates all atoms from Fe at (0.000, 0.000, 0.000), Sb at (0.250, 0.250, 0.750) and Cl at (0.126, 0.126, 0.374).



Crystalline FeSbCl2 at its relaxed geometry. Source: Alexandria, functional PBE-GGA.

As for the electronic total energy: -4.223 eV/atom. The density of states at the Fermi level is 2.74 states/eV/f.u. As for the energy above the most stable polymorph in this dataset: 132 meV per atom. Its total magnetization is 3.84 μB/f.u. The calculation puts the uncorrected formation energy at -0.15 eV per atom. The value obtained for the theoretical density is 3.733 Mg/m³.

It has space group Cmmm (No. 65), with a = 3.186 Å, b = 6.171 Å, c = 11.246 Å, α = 90.00°, β = 90.00° and γ = 90.00°. Symmetry generates all atoms from Fe at (0.000, 0.000, 0.000), Sb at (0.000, 0.000, 0.500) and Cl at (0.000, 0.500, 0.152).